Here is crystalline AlFe2TeF at its relaxed geometry from Alexandria. Energies are from PBE with a Hubbard U.

Results
DOS(E_F) (states/eV/atom): 0.516
Space group: P4/mmm, No. 123
VASP energy (eV per cell): -20.3

a = 5.1690 Å, b = 5.1690 Å, c = 3.8588 Å
α = 90.00°, β = 90.00°, γ = 90.00°
Fractional coordinates of all 5 atoms:
Al 0.0000 0.0000 0.0000
Fe 0.0000 0.5000 0.0000
Fe 0.5000 0.0000 0.0000
Te 0.5000 0.5000 0.5000
F 0.0000 0.0000 0.5000